# Y2MgWC, relaxed, DFT PBE
data_Y2MgWC
_cell_length_a 5.033
_cell_length_b 5.033
_cell_length_c 4.123
_cell_angle_alpha 90.00
_cell_angle_beta 90.00
_cell_angle_gamma 90.00
_symmetry_space_group_name_H-M 'P 4/m m m'
_symmetry_Int_Tables_number 123
_symmetry_space_group_name_Hall '-P 4 2'
loop_
_atom_site_label
_atom_site_type_symbol
_atom_site_fract_x
_atom_site_fract_y
_atom_site_fract_z
Y1 Y 0.000 0.500 0.000
Mg1 Mg 0.000 0.000 0.500
W1 W 0.500 0.500 0.500
C1 C 0.500 0.500 0.000
# **DOS at the Fermi energy**: 1.1694 states/eV/atom
# **DFT formation energy**: -0.0382 eV/atom
# **Mass density**: 6.33 g/cm³
# **Volume**: 20.9 Å³/atom
# **Total magnetic moment**: 0.68 μB/cell

***

# Y4Mg2C, relaxed, DFT PBE
data_Y4Mg2C
_cell_length_a 4.974
_cell_length_b 4.974
_cell_length_c 15.673
_cell_angle_alpha 90.00
_cell_angle_beta 90.00
_cell_angle_gamma 90.00
_symmetry_space_group_name_H-M 'I 4/m m m'
_symmetry_Int_Tables_number 139
_symmetry_space_group_name_Hall '-I 4 2'
loop_
_atom_site_label
_atom_site_type_symbol
_atom_site_fract_x
_atom_site_fract_y
_atom_site_fract_z
Y1 Y 0.000 0.000 0.155
Y2 Y 0.000 0.500 0.000
Mg1 Mg 0.000 0.000 0.364
C1 C 0.000 0.000 0.000
# **DOS at the Fermi energy**: 1.5007 states/eV/atom
# **DFT formation energy**: -0.0050 eV/atom
# **Mass density**: 3.57 g/cm³
# **Volume**: 27.7 Å³/atom
# **Total magnetic moment**: 1.71 μB/cell

***

# YMg3C, relaxed, DFT PBE
data_YMg3C
_cell_length_a 6.238
_cell_length_b 6.238
_cell_length_c 6.238
_cell_angle_alpha 90.00
_cell_angle_beta 90.00
_cell_angle_gamma 90.00
_symmetry_space_group_name_H-M 'P m -3 m'
_symmetry_Int_Tables_number 221
_symmetry_space_group_name_Hall '-P 4 2 3'
loop_
_atom_site_label
_atom_site_type_symbol
_atom_site_fract_x
_atom_site_fract_y
_atom_site_fract_z
Y1 Y 0.000 0.000 0.000
Mg1 Mg 0.000 0.000 0.500
C1 C 0.500 0.500 0.500
# **DOS at the Fermi energy**: 0.8787 states/eV/atom
# **DFT formation energy**: 2.2872 eV/atom
# **Mass density**: 1.19 g/cm³
# **Volume**: 48.5 Å³/atom
# **Energy above the lowest structure with this stoichiometry**: 1917.2 meV/atom
# **Total magnetic moment**: 2.76 μB/cell

***

# Y6Mg2C, relaxed, DFT PBE
data_Y6Mg2C
_cell_length_a 12.183
_cell_length_b 7.079
_cell_length_c 7.070
_cell_angle_alpha 90.00
_cell_angle_beta 125.41
_cell_angle_gamma 90.00
_symmetry_space_group_name_H-M 'C 1 2/m 1'
_symmetry_Int_Tables_number 12
loop_
_symmetry_equiv_pos_as_xyz
'x,y,z'
'-x,-y,-z'
'-x,y,-z'
'x,-y,z'
'x+1/2,y+1/2,z'
'-x+1/2,-y+1/2,-z'
'-x+1/2,y+1/2,-z'
'x+1/2,-y+1/2,z'
loop_
_atom_site_label
_atom_site_type_symbol
_atom_site_fract_x
_atom_site_fract_y
_atom_site_fract_z
Y1 Y 0.022 0.244 0.279
Y2 Y 0.244 0.000 0.788
Mg1 Mg 0.249 0.500 0.749
C1 C 0.000 0.000 0.500
# **DOS at the Fermi energy**: 1.0148 states/eV/atom
# **DFT formation energy**: -0.1398 eV/atom
# **Mass density**: 3.97 g/cm³
# **Volume**: 27.6 Å³/atom
# **Total magnetic moment**: 0.00 μB/cell

***

# YMg2C2, relaxed, DFT PBE
data_YMg2C2
_cell_length_a 6.890
_cell_length_b 6.890
_cell_length_c 3.046
_cell_angle_alpha 90.00
_cell_angle_beta 90.00
_cell_angle_gamma 90.00
_symmetry_space_group_name_H-M 'P 4/m b m'
_symmetry_Int_Tables_number 127
_symmetry_space_group_name_Hall '-P 4 2ab'
loop_
_atom_site_label
_atom_site_type_symbol
_atom_site_fract_x
_atom_site_fract_y
_atom_site_fract_z
Y1 Y 0.000 0.000 0.000
Mg1 Mg 0.136 0.364 0.500
C1 C 0.171 0.671 0.000
# **DOS at the Fermi energy**: 0.5499 states/eV/atom
# **DFT formation energy**: 0.7189 eV/atom
# **Mass density**: 3.71 g/cm³
# **Volume**: 14.5 Å³/atom
# **Energy above the lowest structure with this stoichiometry**: 446.2 meV/atom
# **Total magnetic moment**: 0.00 μB/cell

***

# YMg3C, relaxed, DFT PBE
data_YMg3C
_cell_length_a 4.632
_cell_length_b 4.632
_cell_length_c 4.632
_cell_angle_alpha 90.00
_cell_angle_beta 90.00
_cell_angle_gamma 90.00
_symmetry_space_group_name_H-M 'P m -3 m'
_symmetry_Int_Tables_number 221
_symmetry_space_group_name_Hall '-P 4 2 3'
loop_
_atom_site_label
_atom_site_type_symbol
_atom_site_fract_x
_atom_site_fract_y
_atom_site_fract_z
Y1 Y 0.000 0.000 0.000
Mg1 Mg 0.000 0.500 0.500
C1 C 0.500 0.500 0.500
# **DOS at the Fermi energy**: 0.5847 states/eV/atom
# **DFT formation energy**: 0.3700 eV/atom
# **Mass density**: 2.90 g/cm³
# **Volume**: 19.9 Å³/atom
# **Energy above the lowest structure with this stoichiometry**: 0.0 meV/atom
# **Total magnetic moment**: 0.00 μB/cell

***

# Y2MgC, relaxed, DFT PBE
data_Y2MgC
_cell_length_a 6.897
_cell_length_b 6.897
_cell_length_c 6.897
_cell_angle_alpha 90.00
_cell_angle_beta 90.00
_cell_angle_gamma 90.00
_symmetry_space_group_name_H-M 'F m -3 m'
_symmetry_Int_Tables_number 225
_symmetry_space_group_name_Hall '-F 4 2 3'
loop_
_atom_site_label
_atom_site_type_symbol
_atom_site_fract_x
_atom_site_fract_y
_atom_site_fract_z
Y1 Y 0.250 0.250 0.250
Mg1 Mg 0.000 0.000 0.000
C1 C 0.000 0.000 0.500
# **DOS at the Fermi energy**: 0.8254 states/eV/atom
# **DFT formation energy**: 0.7508 eV/atom
# **Mass density**: 4.34 g/cm³
# **Volume**: 20.5 Å³/atom
# **Total magnetic moment**: 0.00 μB/cell

***

# Y5MgC2, relaxed, DFT PBE
data_Y5MgC2
_cell_length_a 3.702
_cell_length_b 6.652
_cell_length_c 14.724
_cell_angle_alpha 90.00
_cell_angle_beta 90.00
_cell_angle_gamma 90.00
_symmetry_space_group_name_H-M 'I m m m'
_symmetry_Int_Tables_number 71
_symmetry_space_group_name_Hall '-I 2 2'
loop_
_atom_site_label
_atom_site_type_symbol
_atom_site_fract_x
_atom_site_fract_y
_atom_site_fract_z
Y1 Y 0.000 0.000 0.000
Y2 Y 0.000 0.250 0.340
Mg1 Mg 0.000 0.500 0.000
C1 C 0.000 0.000 0.180
# **DOS at the Fermi energy**: 0.7917 states/eV/atom
# **DFT formation energy**: -0.0594 eV/atom
# **Mass density**: 4.51 g/cm³
# **Volume**: 22.7 Å³/atom
# **Total magnetic moment**: 0.00 μB/cell

***

# YMg2C2, relaxed, DFT PBE
data_YMg2C2
_cell_length_a 3.766
_cell_length_b 3.766
_cell_length_c 10.934
_cell_angle_alpha 90.00
_cell_angle_beta 90.00
_cell_angle_gamma 90.00
_symmetry_space_group_name_H-M 'I 4/m m m'
_symmetry_Int_Tables_number 139
_symmetry_space_group_name_Hall '-I 4 2'
loop_
_atom_site_label
_atom_site_type_symbol
_atom_site_fract_x
_atom_site_fract_y
_atom_site_fract_z
Y1 Y 0.000 0.000 0.000
Mg1 Mg 0.000 0.500 0.250
C1 C 0.000 0.000 0.438
# **DOS at the Fermi energy**: 0.4691 states/eV/atom
# **DFT formation energy**: 0.2727 eV/atom
# **Mass density**: 3.46 g/cm³
# **Volume**: 15.5 Å³/atom
# **Energy above the lowest structure with this stoichiometry**: 0.0 meV/atom
# **Total magnetic moment**: 0.00 μB/cell

***

# Y3MgC, relaxed, DFT PBE
data_Y3MgC
_cell_length_a 4.992
_cell_length_b 4.992
_cell_length_c 4.992
_cell_angle_alpha 90.00
_cell_angle_beta 90.00
_cell_angle_gamma 90.00
_symmetry_space_group_name_H-M 'P m -3 m'
_symmetry_Int_Tables_number 221
_symmetry_space_group_name_Hall '-P 4 2 3'
loop_
_atom_site_label
_atom_site_type_symbol
_atom_site_fract_x
_atom_site_fract_y
_atom_site_fract_z
Y1 Y 0.000 0.000 0.500
Mg1 Mg 0.500 0.500 0.500
C1 C 0.000 0.000 0.000
# **DOS at the Fermi energy**: 0.4830 states/eV/atom
# **DFT formation energy**: -0.2145 eV/atom
# **Mass density**: 4.04 g/cm³
# **Volume**: 24.9 Å³/atom
# **Total magnetic moment**: 1.07 μB/cell

***

# Y2MgC, relaxed, DFT PBE
data_Y2MgC
_cell_length_a 3.5377
_cell_length_b 3.5377
_cell_length_c 8.7139
_cell_angle_alpha 90.00
_cell_angle_beta 90.00
_cell_angle_gamma 120.00
_symmetry_space_group_name_H-M 'P -6 m 2'
_symmetry_Int_Tables_number 187
_symmetry_space_group_name_Hall 'P -6 2'
loop_
_atom_site_label
_atom_site_type_symbol
_atom_site_fract_x
_atom_site_fract_y
_atom_site_fract_z
Y1 Y 0.0000 0.0000 0.1660
Mg1 Mg 0.3333 0.6667 0.5000
C1 C 0.6667 0.3333 0.0000
# **DOS at the Fermi energy**: 0.8170 states/eV/atom
# **DFT formation energy**: 0.0393 eV/atom
# **Mass density**: 3.77 g/cm³
# **Volume**: 23.6 Å³/atom
# **Total magnetic moment**: 0.26 μB/cell

***

# Y2MgC, relaxed, DFT PBE
data_Y2MgC
_cell_length_a 3.5378
_cell_length_b 3.5378
_cell_length_c 28.2301
_cell_angle_alpha 90.00
_cell_angle_beta 90.00
_cell_angle_gamma 120.00
_symmetry_space_group_name_H-M 'R -3 m'
_symmetry_Int_Tables_number 166
_symmetry_space_group_name_Hall '-R 3 2"'
loop_
_atom_site_label
_atom_site_type_symbol
_atom_site_fract_x
_atom_site_fract_y
_atom_site_fract_z
Y1 Y 0.0000 0.0000 0.1192
Mg1 Mg 0.0000 0.0000 0.0000
C1 C 0.0000 0.0000 0.5000
# **DOS at the Fermi energy**: 0.6024 states/eV/atom
# **DFT formation energy**: -0.0718 eV/atom
# **Mass density**: 3.49 g/cm³
# **Volume**: 25.5 Å³/atom
# **Total magnetic moment**: 0.00 μB/cell